[1]
DFT (GGA-PBE) results for a relaxed structure of Th6Sb3AsP2.

Structure (extended XYZ):
```
12
Lattice="3.728 -6.461 0.000 3.728 6.461 0.000 -2.487 0.000 7.210" Properties=species:S:1:pos:R:3 pbc="T T T"
Th -0.034 2.207 5.631
Th 1.178 0.000 1.557
Th -0.034 -2.207 5.631
Th 5.003 2.207 1.579
Th 3.791 0.000 5.652
Th 5.003 -2.207 1.579
Sb -1.243 0.000 3.605
Sb 2.484 2.113 3.605
Sb 2.484 -2.113 3.605
As 3.728 0.000 0.000
P 3.728 4.298 0.000
P 3.728 -4.298 0.000
```

Values from the calculation:
- D(E_F) (states/eV/f.u.) = 5.3
- ΔE_f (raw) (eV per atom) = -1.2102



[2]
DFT (GGA-PBE) results for a relaxed structure of Te2IrICl.

Structure (extended XYZ):
```
5
Lattice="5.205 0.000 0.000 0.000 5.205 0.000 0.000 0.000 5.592" Properties=species:S:1:pos:R:3 pbc="T T T"
Te 0.000 2.602 0.000
Te 2.602 0.000 0.000
Ir 0.000 0.000 0.000
I 0.000 0.000 2.796
Cl 2.602 2.602 2.796
```

Values from the calculation:
- D(E_F) (states/eV/f.u.) = 5.7
- ΔE_f (raw) (eV per atom) = 0.4008



[3]
DFT (GGA-PBE) results for a relaxed structure of K4SnS4O4.

Structure (extended XYZ):
```
26
Lattice="7.496 0.000 0.000 -2.191 7.931 0.000 -0.300 -1.257 11.871" Properties=species:S:1:pos:R:3 pbc="T T T"
K 0.071 1.582 1.398
K 0.651 2.194 5.610
K 1.596 2.018 10.003
K 0.876 6.234 7.822
K 4.129 0.440 4.049
K 3.409 4.656 1.868
K 4.354 4.480 6.260
K 4.934 5.092 10.472
Sn -0.347 5.200 3.363
Sn 5.352 1.474 8.508
S -1.724 7.262 3.738
S -0.764 3.414 8.252
S 0.356 5.358 0.920
S 1.634 5.190 4.706
S 3.371 1.484 7.165
S 4.649 1.316 10.951
S 5.768 3.260 3.619
S 6.729 -0.588 8.133
O 1.219 -0.590 10.927
O 1.458 0.594 3.591
O 1.053 3.964 0.621
O 2.442 -0.772 10.500
O 2.563 7.446 1.371
O 3.952 2.710 11.250
O 3.547 6.080 8.279
O 3.786 7.265 0.943
```

Values from the calculation:
- D(E_F) (states/eV/f.u.) = 1.4
- ΔE_f (raw) (eV per atom) = -0.9009



[4]
DFT (GGA-PBE) results for a relaxed structure of LiTlS2.

Structure (extended XYZ):
```
16
Lattice="5.166 0.000 0.000 0.000 4.405 0.000 -2.502 0.000 15.942" Properties=species:S:1:pos:R:3 pbc="T T T"
Li 0.449 0.005 3.661
Li -0.802 2.197 11.632
Li 3.465 2.207 4.310
Li 2.214 4.400 12.281
Tl 1.400 2.208 1.241
Tl 0.148 4.399 9.212
Tl 2.515 0.006 6.730
Tl 1.264 2.197 14.701
S -0.438 2.207 6.489
S -1.690 4.401 14.460
S 0.794 2.207 4.766
S -0.457 4.400 12.737
S 3.121 0.005 3.205
S 1.870 2.198 11.176
S 4.353 0.004 1.482
S 3.102 2.198 9.453
```

Values from the calculation:
- D(E_F) (states/eV/f.u.) = 0.0
- ΔE_f (raw) (eV per atom) = -0.5649



[5]
DFT (GGA-PBE) results for a relaxed structure of MgSiTc2.

Structure (extended XYZ):
```
4
Lattice="4.316 0.000 0.000 0.000 4.316 0.000 0.000 0.000 3.042" Properties=species:S:1:pos:R:3 pbc="T T T"
Mg 0.000 0.000 0.000
Si 2.158 2.158 0.000
Tc 0.000 2.158 1.521
Tc 2.158 0.000 1.521
```

Values from the calculation:
- D(E_F) (states/eV/f.u.) = 5.4
- ΔE_f (raw) (eV per atom) = 0.0593



[6]
DFT (GGA-PBE) results for a relaxed structure of La12Zn3Co5.

Structure (extended XYZ):
```
80
Lattice="-8.489 8.489 8.489 8.489 -8.489 8.489 8.489 8.489 -8.489" Properties=species:S:1:pos:R:3 pbc="T T T"
La 2.556 -0.482 0.965
La 10.178 5.210 -4.727
La 11.045 0.482 0.965
La 10.178 -3.279 4.727
La 8.007 -0.965 2.556
La 13.216 -1.689 3.279
La 0.965 2.556 -0.482
La 11.768 3.762 -1.689
La 5.210 4.727 -1.689
La 7.524 2.556 0.482
La -0.482 0.965 2.556
La 4.727 -1.689 5.210
La 8.007 7.524 -2.556
La 4.727 1.689 3.279
La 5.210 -4.727 10.178
La 7.524 -2.556 8.007
La 3.279 4.727 1.689
La 9.454 5.933 0.482
La 4.727 10.178 -3.279
La 8.007 0.965 5.933
La 2.556 8.007 -0.965
La 10.178 3.279 3.762
La 1.689 3.279 4.727
La 2.556 0.482 7.524
La 5.933 8.007 0.965
La 6.800 5.210 3.762
La -1.689 5.210 4.727
La 5.933 0.482 9.454
La 0.482 7.524 2.556
La 3.762 -1.689 11.768
La -0.965 2.556 8.007
La 5.210 3.762 6.800
La 0.965 11.045 0.482
La 3.279 13.216 -1.689
La 3.762 6.800 5.210
La 0.482 0.965 11.045
La 3.762 10.178 3.279
La 8.971 7.524 5.933
La 0.965 5.933 8.007
La 3.279 3.762 10.178
La -3.279 4.727 10.178
La 7.524 5.933 8.971
La -4.727 10.178 5.210
La 0.482 9.454 5.933
La -1.689 11.768 3.762
La -2.556 8.007 7.524
La -1.689 3.279 13.216
La 5.933 8.971 7.524
Zn 4.245 2.122 0.000
Zn 8.489 4.245 -2.122
Zn 2.122 0.000 4.245
Zn 10.611 0.000 4.245
Zn 0.000 4.245 2.122
Zn 4.245 -2.122 8.489
Zn 4.245 10.611 0.000
Zn 8.489 4.245 6.367
Zn -2.122 8.489 4.245
Zn 6.367 8.489 4.245
Zn 0.000 4.245 10.611
Zn 4.245 6.367 8.489
Co 0.000 0.000 0.000
Co 4.245 4.245 -4.245
Co 4.245 -4.245 4.245
Co 8.489 0.000 0.000
Co 12.734 2.122 0.000
Co 8.489 -4.245 6.367
Co 6.367 8.489 -4.245
Co 6.367 0.000 4.245
Co 4.245 6.367 0.000
Co 8.489 4.245 2.122
Co -4.245 4.245 4.245
Co 0.000 8.489 0.000
Co 0.000 0.000 8.489
Co 4.245 4.245 4.245
Co 0.000 4.245 6.367
Co 4.245 2.122 8.489
Co 2.122 8.489 4.245
Co 2.122 0.000 12.734
Co 0.000 12.734 2.122
Co -4.245 6.367 8.489
```

Values from the calculation:
- D(E_F) (states/eV/f.u.) = 20.0
- energy of formation (eV per formula unit) = 0.55



[7]
DFT (GGA-PBE) results for a relaxed structure of NdGdMnCu.

Structure (extended XYZ):
```
4
Lattice="0.000 3.574 3.574 3.574 0.000 3.574 3.574 3.574 0.000" Properties=species:S:1:pos:R:3 pbc="T T T"
Nd 0.000 0.000 0.000
Gd 3.574 3.574 3.574
Mn 1.787 1.787 1.787
Cu 5.361 5.361 5.361
```

Values from the calculation:
- D(E_F) (states/eV/f.u.) = 4.5
- energy of formation (eV per formula unit) = 0.28



[8]
DFT (GGA-PBE) results for a relaxed structure of Ca3ScTe4.

Structure (extended XYZ):
```
8
Lattice="4.438 -6.247 0.000 4.438 6.247 0.000 0.000 0.000 4.395" Properties=species:S:1:pos:R:3 pbc="T T T"
Ca 0.000 0.000 0.000
Ca 2.219 3.124 2.197
Ca 2.219 -3.124 2.197
Sc 4.438 0.000 0.000
Te 4.438 3.028 0.000
Te 2.341 0.000 2.197
Te 6.535 0.000 2.197
Te 4.438 -3.028 0.000
```

Values from the calculation:
- D(E_F) (states/eV/f.u.) = 2.9
- ΔE_f (raw) (eV per atom) = -1.4810



[9]
DFT (GGA-PBE) results for a relaxed structure of ZrP2Au.

Structure (extended XYZ):
```
4
Lattice="0.000 3.249 3.249 3.249 0.000 3.249 3.249 3.249 0.000" Properties=species:S:1:pos:R:3 pbc="T T T"
Zr 0.000 0.000 0.000
P 1.625 1.625 1.625
P 4.874 4.874 4.874
Au 3.249 3.249 3.249
```

Values from the calculation:
- D(E_F) (states/eV/f.u.) = 2.2
- energy of formation (eV per formula unit) = -0.76



[10]
DFT (GGA-PBE) results for a relaxed structure of CoAsBr2.

Structure (extended XYZ):
```
4
Lattice="1.778 -3.204 0.000 1.778 3.204 0.000 0.000 0.000 9.075" Properties=species:S:1:pos:R:3 pbc="T T T"
Co 0.000 0.000 0.000
As 1.778 0.000 7.656
Br 0.000 0.000 5.444
Br 1.778 0.000 1.655
```

Values from the calculation:
- D(E_F) (states/eV/f.u.) = 4.7
- ΔE_f (raw) (eV per atom) = 0.2019



[11]
DFT (GGA-PBE) results for a relaxed structure of LiLaTm.

Structure (extended XYZ):
```
6
Lattice="1.880 -2.861 0.000 1.880 2.861 0.000 -0.188 0.000 16.781" Properties=species:S:1:pos:R:3 pbc="T T T"
Li 0.844 0.000 7.247
Li 2.728 0.000 9.534
La 0.693 0.000 1.659
La 2.879 0.000 15.123
Tm 0.857 0.000 12.187
Tm 2.715 0.000 4.594
```

Values from the calculation:
- D(E_F) (states/eV/f.u.) = 3.4
- energy of formation (eV per formula unit) = 0.44



[12]
DFT (GGA-PBE) results for a relaxed structure of Ta2AsBr.

Structure (extended XYZ):
```
4
Lattice="2.991 0.000 0.000 0.000 2.991 0.000 0.000 0.000 9.610" Properties=species:S:1:pos:R:3 pbc="T T T"
Ta 0.000 0.000 0.000
Ta 1.496 1.496 2.209
As 0.000 0.000 4.142
Br 1.496 1.496 7.767
```

Values from the calculation:
- D(E_F) (states/eV/f.u.) = 1.7
- ΔE_f (raw) (eV per atom) = -0.0012



[13]
DFT (GGA-PBE) results for a relaxed structure of Hf6Rh5W.

Structure (extended XYZ):
```
12
Lattice="2.309 -6.933 0.000 2.309 6.933 0.000 0.000 0.000 6.589" Properties=species:S:1:pos:R:3 pbc="T T T"
Hf 0.000 0.000 1.649
Hf 0.000 0.000 4.939
Hf 2.309 2.301 1.644
Hf 2.309 2.301 4.944
Hf 2.309 -2.301 1.644
Hf 2.309 -2.301 4.944
Rh 2.309 4.620 0.000
Rh 2.309 4.581 3.294
Rh 2.309 0.000 0.000
Rh 2.309 -4.581 3.294
Rh 2.309 -4.620 0.000
W 2.309 0.000 3.294
```

Values from the calculation:
- D(E_F) (states/eV/f.u.) = 8.5
- energy of formation (eV per formula unit) = -9.03



[14]
DFT (GGA-PBE) results for a relaxed structure of ZnHg2MoPb.

Structure (extended XYZ):
```
5
Lattice="5.000 0.000 0.000 0.000 5.000 0.000 0.000 0.000 5.492" Properties=species:S:1:pos:R:3 pbc="T T T"
Zn 0.000 0.000 0.000
Hg 0.000 2.500 0.000
Hg 2.500 0.000 0.000
Mo 2.500 2.500 2.746
Pb 0.000 0.000 2.746
```

Values from the calculation:
- D(E_F) (states/eV/f.u.) = 2.3
- energy of formation (eV per formula unit) = 5.12



[15]
DFT (GGA-PBE) results for a relaxed structure of Ac3Cu2IrO9.

Structure (extended XYZ):
```
15
Lattice="5.651 0.000 0.000 -2.826 4.894 0.000 0.000 0.000 6.997" Properties=species:S:1:pos:R:3 pbc="T T T"
Ac 0.000 0.000 0.000
Ac 0.000 3.263 4.757
Ac 2.826 1.631 2.240
Cu 0.000 3.263 1.108
Cu 2.826 1.631 5.889
Ir 0.000 0.000 3.499
O -1.413 2.447 0.000
O 0.000 1.613 2.328
O -1.429 4.088 2.328
O 1.397 0.806 4.669
O 2.826 0.000 0.000
O 1.413 2.447 0.000
O 1.429 4.088 2.328
O 4.255 0.806 4.669
O 2.826 3.282 4.669
```

Values from the calculation:
- D(E_F) (states/eV/f.u.) = 8.5
- ΔE_f (raw) (eV per atom) = -1.9846



[16]
DFT (GGA-PBE) results for a relaxed structure of KNaRe2I.

Structure (extended XYZ):
```
5
Lattice="5.259 0.000 0.000 0.000 5.259 0.000 0.000 0.000 6.581" Properties=species:S:1:pos:R:3 pbc="T T T"
K 0.000 0.000 0.000
Na 0.000 0.000 3.291
Re 0.000 2.629 3.291
Re 2.629 0.000 3.291
I 2.629 2.629 0.000
```

Values from the calculation:
- D(E_F) (states/eV/f.u.) = 5.9
- ΔE_f (raw) (eV per atom) = 2.3132



[17]
DFT (GGA-PBE) results for a relaxed structure of CaCoI.

Structure (extended XYZ):
```
6
Lattice="4.062 0.000 0.000 0.000 4.034 0.000 -1.979 0.000 10.360" Properties=species:S:1:pos:R:3 pbc="T T T"
Ca -0.001 1.008 1.694
Ca 2.084 3.025 8.666
Co 0.053 1.008 9.839
Co 2.030 3.025 0.521
I 0.052 1.008 7.036
I 2.031 3.025 3.324
```

Values from the calculation:
- D(E_F) (states/eV/f.u.) = 1.9
- ΔE_f (raw) (eV per atom) = -0.5464



[18]
DFT (GGA-PBE) results for a relaxed structure of SrEuSiAu.

Structure (extended XYZ):
```
4
Lattice="0.000 3.763 3.763 3.763 0.000 3.763 3.763 3.763 0.000" Properties=species:S:1:pos:R:3 pbc="T T T"
Sr 0.000 0.000 0.000
Eu 3.763 3.763 3.763
Si 1.882 1.882 1.882
Au 5.645 5.645 5.645
```

Values from the calculation:
- D(E_F) (states/eV/f.u.) = 11.4
- ΔE_f (raw) (eV per atom) = -0.5093



Number 1: total DFT energy (no corrections) -86.88 eV per formula unit. Number 2: total DFT energy (no corrections) -16.54 eV per formula unit. Number 3: total DFT energy (no corrections) -56.45 eV per formula unit. Number 4: total DFT energy (no corrections) -14.79 eV per formula unit. Number 5: total DFT energy (no corrections) -27.51 eV per formula unit. Number 6: total DFT energy (no corrections) -97.93 eV per formula unit. Number 7: total DFT energy (no corrections) -31.84 eV per formula unit. Number 8: total DFT energy (no corrections) -36.75 eV per formula unit. Number 9: total DFT energy (no corrections) -23.41 eV per formula unit. Number 10: total DFT energy (no corrections) -14.29 eV per formula unit. Number 11: total DFT energy (no corrections) -10.87 eV per formula unit. Number 12: total DFT energy (no corrections) -30.03 eV per formula unit. Number 13: total DFT energy (no corrections) -118.46 eV per formula unit. Number 14: total DFT energy (no corrections) -11.30 eV per formula unit. Number 15: total DFT energy (no corrections) -103.77 eV per formula unit. Number 16: total DFT energy (no corrections) -17.30 eV per formula unit. Number 17: total DFT energy (no corrections) -12.30 eV per formula unit. Number 18: total DFT energy (no corrections) -22.69 eV per formula unit.